Computed, not measured: Tm2NiGe2Rh5 after structural relaxation at the PBE level of DFT.

Lattice parameters (Å, degrees): 9.6059 9.6059 3.5470 90.00 90.00 90.00
Element x y z (fractional)
Tm 0.1725 0.3275 0.0000
Tm 0.3275 0.8275 0.0000
Tm 0.6725 0.1725 0.0000
Tm 0.8275 0.6725 0.0000
Ni 0.0000 0.0000 0.0000
Ni 0.5000 0.5000 0.0000
Ge 0.1282 0.6282 0.0000
Ge 0.3718 0.1282 0.0000
Ge 0.6282 0.8718 0.0000
Ge 0.8718 0.3718 0.0000
Rh 0.0000 0.5000 0.5000
Rh 0.0655 0.7985 0.5000
Rh 0.2015 0.0655 0.5000
Rh 0.2985 0.5655 0.5000
Rh 0.4345 0.2985 0.5000
Rh 0.5000 0.0000 0.5000
Rh 0.5655 0.7015 0.5000
Rh 0.7015 0.4345 0.5000
Rh 0.7985 0.9345 0.5000
Rh 0.9345 0.2015 0.5000

Summary:
Symmetry: P4/mbm, No. 127
Formation energy from the elements, meV per atom: -651.1
Fermi-level density of states, states/eV/cell: 21.75